1.
! NiBPtO5, optimized geometry, DFT PBE with a Hubbard U; values from VASP
! * density of states at the Fermi level: 7.6 states/eV/cell
! * volume: 159.1 Å³ per cell
! * calculated total energy: -97.45 eV per cell
&SYSTEM
  ibrav = 0, nat = 16, ntyp = 4
/
ATOMIC_SPECIES
Ni 58.69 Ni.upf
B 10.81 B.upf
Pt 195.08 Pt.upf
O 16.00 O.upf
ATOMIC_POSITIONS crystal
Ni 0.146 0.854 0.750
Ni 0.854 0.146 0.250
B 0.188 0.812 0.250
B 0.812 0.188 0.750
Pt 0.500 0.500 0.000
Pt 0.500 0.500 0.500
O 0.093 0.220 0.910
O 0.154 0.575 0.337
O 0.220 0.093 0.410
O 0.395 0.605 0.750
O 0.425 0.846 0.163
O 0.575 0.154 0.837
O 0.605 0.395 0.250
O 0.780 0.907 0.590
O 0.846 0.425 0.663
O 0.907 0.780 0.090
CELL_PARAMETERS angstrom
3.096 -4.010 0.000
3.096 4.010 0.000
-2.903 0.000 6.410

2.
! Li4VCr3O8, optimized geometry, DFT PBE with a Hubbard U; values from VASP
! * density of states at the Fermi level: 0.0 states/eV/cell
! * volume: 149.5 Å³ per cell
! * calculated total energy: -110.44 eV per cell
&SYSTEM
  ibrav = 0, nat = 16, ntyp = 4
/
ATOMIC_SPECIES
Li 6.94 Li.upf
V 50.94 V.upf
Cr 52.00 Cr.upf
O 16.00 O.upf
ATOMIC_POSITIONS crystal
Li 0.000 0.000 0.000
Li 0.000 0.246 0.500
Li 0.000 0.500 0.000
Li 0.000 0.754 0.500
V 0.500 0.500 0.500
Cr 0.500 0.000 0.500
Cr 0.500 0.250 0.000
Cr 0.500 0.750 0.000
O 0.273 0.500 0.761
O 0.274 0.248 0.257
O 0.274 0.752 0.257
O 0.276 0.000 0.758
O 0.724 0.000 0.242
O 0.726 0.248 0.743
O 0.726 0.752 0.743
O 0.727 0.500 0.239
CELL_PARAMETERS angstrom
5.154 0.000 0.000
0.000 5.960 0.000
-1.726 0.000 4.866

- What is the density of states at the Fermi level in the second record?
  0.0 states/eV/cell